(1)
DFT (GGA-PBE) results for a geometry-optimized Mg3Zn5Rh structure.

Values from the calculation:
For the magnetic moment, the calculation gives 0.00 μB per formula unit. As for the crystal system: tetragonal. For the raw total energy, the calculation gives -18.38 eV/f.u. The calculation puts the formation energy at 13 meV/atom.

Geometry as CIF:
```
data_Mg3Zn5Rh
_chemical_formula_sum 'Mg6 Zn10 Rh2'
_symmetry_space_group_name_H-M 'P 1'
_symmetry_Int_Tables_number 1
_symmetry_space_group_name_Hall 'P 1'
_cell_length_a 7.675
_cell_length_b 7.675
_cell_length_c 7.675
_cell_angle_alpha 116.82
_cell_angle_beta 116.82
_cell_angle_gamma 95.59
loop_
_atom_site_label
_atom_site_type_symbol
_atom_site_fract_x
_atom_site_fract_y
_atom_site_fract_z
Mg1 Mg 0.118 0.618 0.735
Mg2 Mg 0.250 0.250 0.000
Mg3 Mg 0.382 0.118 0.500
Mg4 Mg 0.618 0.882 0.500
Mg5 Mg 0.750 0.750 0.000
Mg6 Mg 0.882 0.382 0.265
Zn1 Zn 0.000 0.000 0.000
Zn2 Zn 0.052 0.169 0.500
Zn3 Zn 0.169 0.669 0.117
Zn4 Zn 0.331 0.448 0.500
Zn5 Zn 0.448 0.948 0.117
Zn6 Zn 0.500 0.500 0.000
Zn7 Zn 0.552 0.052 0.883
Zn8 Zn 0.669 0.552 0.500
Zn9 Zn 0.831 0.331 0.883
Zn10 Zn 0.948 0.831 0.500
Rh1 Rh 0.250 0.750 0.500
Rh2 Rh 0.750 0.250 0.500
```


(2)
DFT (GGA-PBE) results for a geometry-optimized MgZnRh14 structure.

Values from the calculation:
For the magnetic moment, the calculation gives 0.00 μB per formula unit. As for the crystal system: orthorhombic. For the raw total energy, the calculation gives -107.06 eV/f.u. The calculation puts the formation energy at -79 meV/atom.

Geometry as CIF:
```
data_MgZnRh14
_chemical_formula_sum 'Mg1 Zn1 Rh14'
_symmetry_space_group_name_H-M 'P 1'
_symmetry_Int_Tables_number 1
_symmetry_space_group_name_Hall 'P 1'
_cell_length_a 8.868
_cell_length_b 5.447
_cell_length_c 5.447
_cell_angle_alpha 60.17
_cell_angle_beta 90.00
_cell_angle_gamma 90.00
loop_
_atom_site_label
_atom_site_type_symbol
_atom_site_fract_x
_atom_site_fract_y
_atom_site_fract_z
Mg1 Mg 0.000 0.000 0.000
Zn1 Zn 0.000 0.501 0.501
Rh1 Rh 0.000 0.498 0.997
Rh2 Rh 0.000 0.997 0.498
Rh3 Rh 0.246 0.335 0.335
Rh4 Rh 0.249 0.833 0.833
Rh5 Rh 0.252 0.336 0.834
Rh6 Rh 0.252 0.834 0.336
Rh7 Rh 0.500 0.000 0.000
Rh8 Rh 0.500 0.003 0.500
Rh9 Rh 0.500 0.500 0.003
Rh10 Rh 0.500 0.500 0.500
Rh11 Rh 0.748 0.336 0.834
Rh12 Rh 0.748 0.834 0.336
Rh13 Rh 0.751 0.833 0.833
Rh14 Rh 0.754 0.335 0.335
```


(3)
DFT (GGA-PBE) results for a geometry-optimized MgZn2Rh structure.

Values from the calculation:
For the magnetic moment, the calculation gives 0.19 μB per formula unit. As for the crystal system: trigonal. For the raw total energy, the calculation gives -11.92 eV/f.u. The calculation puts the formation energy at -107 meV/atom.

Geometry as CIF:
```
data_MgZn2Rh
_chemical_formula_sum 'Mg1 Zn2 Rh1'
_symmetry_space_group_name_H-M 'P 1'
_symmetry_Int_Tables_number 1
_symmetry_space_group_name_Hall 'P 1'
_cell_length_a 8.827
_cell_length_b 8.827
_cell_length_c 8.827
_cell_angle_alpha 19.12
_cell_angle_beta 19.12
_cell_angle_gamma 19.12
loop_
_atom_site_label
_atom_site_type_symbol
_atom_site_fract_x
_atom_site_fract_y
_atom_site_fract_z
Mg1 Mg 0.000 0.000 0.000
Zn1 Zn 0.243 0.243 0.243
Zn2 Zn 0.757 0.757 0.757
Rh1 Rh 0.500 0.500 0.500
```


(4)
DFT (GGA-PBE) results for a geometry-optimized Mg5ZnRh structure.

Values from the calculation:
For the magnetic moment, the calculation gives 0.00 μB per formula unit. As for the crystal system: monoclinic. For the raw total energy, the calculation gives -17.24 eV/f.u. The calculation puts the formation energy at -92 meV/atom.

Geometry as CIF:
```
data_Mg5ZnRh
_chemical_formula_sum 'Mg10 Zn2 Rh2'
_symmetry_space_group_name_H-M 'P 1'
_symmetry_Int_Tables_number 1
_symmetry_space_group_name_Hall 'P 1'
_cell_length_a 6.586
_cell_length_b 6.586
_cell_length_c 9.130
_cell_angle_alpha 101.10
_cell_angle_beta 101.10
_cell_angle_gamma 48.95
loop_
_atom_site_label
_atom_site_type_symbol
_atom_site_fract_x
_atom_site_fract_y
_atom_site_fract_z
Mg1 Mg 0.120 0.288 0.669
Mg2 Mg 0.238 0.762 0.750
Mg3 Mg 0.288 0.120 0.169
Mg4 Mg 0.306 0.448 0.979
Mg5 Mg 0.448 0.306 0.479
Mg6 Mg 0.552 0.694 0.521
Mg7 Mg 0.694 0.552 0.021
Mg8 Mg 0.712 0.880 0.831
Mg9 Mg 0.762 0.238 0.250
Mg10 Mg 0.880 0.712 0.331
Zn1 Zn 0.254 0.746 0.250
Zn2 Zn 0.746 0.254 0.750
Rh1 Rh 0.000 0.000 0.000
Rh2 Rh 0.000 0.000 0.500
```


(5)
DFT (GGA-PBE) results for a geometry-optimized MgZnRh structure.

Values from the calculation:
For the magnetic moment, the calculation gives 0.00 μB per formula unit. As for the crystal system: orthorhombic. For the raw total energy, the calculation gives -11.54 eV/f.u. The calculation puts the formation energy at -438 meV/atom.

Geometry as CIF:
```
data_MgZnRh
_chemical_formula_sum 'Mg2 Zn2 Rh2'
_symmetry_space_group_name_H-M 'P 1'
_symmetry_Int_Tables_number 1
_symmetry_space_group_name_Hall 'P 1'
_cell_length_a 4.314
_cell_length_b 6.892
_cell_length_c 6.892
_cell_angle_alpha 26.17
_cell_angle_beta 90.00
_cell_angle_gamma 90.00
loop_
_atom_site_label
_atom_site_type_symbol
_atom_site_fract_x
_atom_site_fract_y
_atom_site_fract_z
Mg1 Mg 0.000 0.000 0.000
Mg2 Mg 0.500 0.199 0.199
Zn1 Zn 0.000 0.326 0.326
Zn2 Zn 0.500 0.528 0.528
Rh1 Rh 0.000 0.664 0.664
Rh2 Rh 0.500 0.867 0.867
```


(6)
DFT (GGA-PBE) results for a geometry-optimized Mg5Zn4Rh4 structure.

Values from the calculation:
For the magnetic moment, the calculation gives 0.00 μB per formula unit. As for the crystal system: tetragonal. For the raw total energy, the calculation gives -47.04 eV/f.u. The calculation puts the formation energy at -351 meV/atom.

Geometry as CIF:
```
data_Mg5Zn4Rh4
_chemical_formula_sum 'Mg5 Zn4 Rh4'
_symmetry_space_group_name_H-M 'P 1'
_symmetry_Int_Tables_number 1
_symmetry_space_group_name_Hall 'P 1'
_cell_length_a 7.758
_cell_length_b 7.758
_cell_length_c 7.758
_cell_angle_alpha 93.45
_cell_angle_beta 93.45
_cell_angle_gamma 151.60
loop_
_atom_site_label
_atom_site_type_symbol
_atom_site_fract_x
_atom_site_fract_y
_atom_site_fract_z
Mg1 Mg 0.000 0.000 0.000
Mg2 Mg 0.290 0.371 0.662
Mg3 Mg 0.371 0.710 0.081
Mg4 Mg 0.629 0.290 0.919
Mg5 Mg 0.710 0.629 0.338
Zn1 Zn 0.105 0.583 0.689
Zn2 Zn 0.417 0.105 0.522
Zn3 Zn 0.583 0.895 0.478
Zn4 Zn 0.895 0.417 0.311
Rh1 Rh 0.059 0.237 0.296
Rh2 Rh 0.237 0.941 0.177
Rh3 Rh 0.763 0.059 0.823
Rh4 Rh 0.941 0.763 0.704
```


(7)
DFT (GGA-PBE) results for a geometry-optimized Mg2Zn2Rh structure.

Values from the calculation:
For the magnetic moment, the calculation gives 0.00 μB per formula unit. As for the polymorph energy (0 for the lowest one): 0 meV per atom. As for the crystal system: monoclinic. For the raw total energy, the calculation gives -14.67 eV/f.u. The calculation puts the formation energy at -316 meV/atom.

Geometry as CIF:
```
data_Mg2Zn2Rh
_chemical_formula_sum 'Mg4 Zn4 Rh2'
_symmetry_space_group_name_H-M 'P 1'
_symmetry_Int_Tables_number 1
_symmetry_space_group_name_Hall 'P 1'
_cell_length_a 5.437
_cell_length_b 5.437
_cell_length_c 7.115
_cell_angle_alpha 108.88
_cell_angle_beta 108.88
_cell_angle_gamma 54.68
loop_
_atom_site_label
_atom_site_type_symbol
_atom_site_fract_x
_atom_site_fract_y
_atom_site_fract_z
Mg1 Mg 0.063 0.327 0.143
Mg2 Mg 0.327 0.063 0.643
Mg3 Mg 0.673 0.937 0.357
Mg4 Mg 0.937 0.673 0.857
Zn1 Zn 0.250 0.578 0.556
Zn2 Zn 0.422 0.750 0.944
Zn3 Zn 0.578 0.250 0.056
Zn4 Zn 0.750 0.422 0.444
Rh1 Rh 0.181 0.819 0.250
Rh2 Rh 0.819 0.181 0.750
```


(8)
DFT (GGA-PBE) results for a geometry-optimized Mg2ZnRh9 structure.

Values from the calculation:
For the magnetic moment, the calculation gives 0.00 μB per formula unit. As for the crystal system: tetragonal. For the raw total energy, the calculation gives -72.65 eV/f.u. The calculation puts the formation energy at -169 meV/atom.

Geometry as CIF:
```
data_Mg2ZnRh9
_chemical_formula_sum 'Mg2 Zn1 Rh9'
_symmetry_space_group_name_H-M 'P 1'
_symmetry_Int_Tables_number 1
_symmetry_space_group_name_Hall 'P 1'
_cell_length_a 3.864
_cell_length_b 3.864
_cell_length_c 11.633
_cell_angle_alpha 90.00
_cell_angle_beta 90.00
_cell_angle_gamma 90.00
loop_
_atom_site_label
_atom_site_type_symbol
_atom_site_fract_x
_atom_site_fract_y
_atom_site_fract_z
Mg1 Mg 0.000 0.000 0.167
Mg2 Mg 0.000 0.000 0.833
Zn1 Zn 0.000 0.000 0.500
Rh1 Rh 0.000 0.500 0.000
Rh2 Rh 0.000 0.500 0.337
Rh3 Rh 0.000 0.500 0.663
Rh4 Rh 0.500 0.000 0.000
Rh5 Rh 0.500 0.000 0.337
Rh6 Rh 0.500 0.000 0.663
Rh7 Rh 0.500 0.500 0.168
Rh8 Rh 0.500 0.500 0.500
Rh9 Rh 0.500 0.500 0.832
```


(9)
DFT (GGA-PBE) results for a geometry-optimized Mg5ZnRh4 structure.

Values from the calculation:
For the magnetic moment, the calculation gives 0.00 μB per formula unit. As for the crystal system: tetragonal. For the raw total energy, the calculation gives -42.91 eV/f.u. The calculation puts the formation energy at -426 meV/atom.

Geometry as CIF:
```
data_Mg5ZnRh4
_chemical_formula_sum 'Mg5 Zn1 Rh4'
_symmetry_space_group_name_H-M 'P 1'
_symmetry_Int_Tables_number 1
_symmetry_space_group_name_Hall 'P 1'
_cell_length_a 3.194
_cell_length_b 3.194
_cell_length_c 15.276
_cell_angle_alpha 90.00
_cell_angle_beta 90.00
_cell_angle_gamma 90.00
loop_
_atom_site_label
_atom_site_type_symbol
_atom_site_fract_x
_atom_site_fract_y
_atom_site_fract_z
Mg1 Mg 0.000 0.000 0.000
Mg2 Mg 0.000 0.000 0.198
Mg3 Mg 0.000 0.000 0.390
Mg4 Mg 0.000 0.000 0.610
Mg5 Mg 0.000 0.000 0.802
Zn1 Zn 0.500 0.500 0.500
Rh1 Rh 0.500 0.500 0.100
Rh2 Rh 0.500 0.500 0.301
Rh3 Rh 0.500 0.500 0.699
Rh4 Rh 0.500 0.500 0.900
```


(10)
DFT (GGA-PBE) results for a geometry-optimized MgZn2Rh2 structure.

Values from the calculation:
For the magnetic moment, the calculation gives 0.00 μB per formula unit. As for the polymorph energy (0 for the lowest one): 31 meV per atom. As for the crystal system: monoclinic. For the raw total energy, the calculation gives -20.65 eV/f.u. The calculation puts the formation energy at -360 meV/atom.

Geometry as CIF:
```
data_MgZn2Rh2
_chemical_formula_sum 'Mg1 Zn2 Rh2'
_symmetry_space_group_name_H-M 'P 1'
_symmetry_Int_Tables_number 1
_symmetry_space_group_name_Hall 'P 1'
_cell_length_a 4.695
_cell_length_b 4.695
_cell_length_c 6.039
_cell_angle_alpha 129.29
_cell_angle_beta 129.29
_cell_angle_gamma 50.99
loop_
_atom_site_label
_atom_site_type_symbol
_atom_site_fract_x
_atom_site_fract_y
_atom_site_fract_z
Mg1 Mg 0.000 0.000 0.000
Zn1 Zn 0.195 0.195 0.621
Zn2 Zn 0.805 0.805 0.379
Rh1 Rh 0.432 0.432 0.223
Rh2 Rh 0.568 0.568 0.777
```


What is the formula in the fourth record? Mg5ZnRh